DFT (GGA-PBE) results for crystalline Ca2Pr3NdTe6 at its relaxed geometry.

**Space-group type**: C2/m (12)
**Formation energy (no corrections)**: -1.490 eV/atom

Cell: 7.7782 7.7782 7.9010 Å, 99.47 99.47 120.06°
Last column: nearest neighbours and their distance in Å.
Atoms (fractional coordinates):
Te 0.7444 0.7444 0.2444  2 Ca 3.16, 1 Nd 3.19, 3 Pr 3.20-3.23
Te 0.9189 0.5821 0.7574  2 Ca 3.15, 1 Nd 3.18, 3 Pr 3.20-3.24
Te 0.2556 0.2556 0.7556  2 Ca 3.16, 1 Nd 3.19, 3 Pr 3.20-3.23
Te 0.4179 0.0811 0.2426  2 Ca 3.15, 1 Nd 3.18, 3 Pr 3.20-3.24
Te 0.0811 0.4179 0.2426  2 Ca 3.15, 1 Nd 3.18, 3 Pr 3.20-3.24
Te 0.5821 0.9189 0.7574  2 Ca 3.15, 1 Nd 3.18, 3 Pr 3.20-3.24
Pr 0.8328 0.1672 0.5000  6 Te 3.20-3.24
Pr 0.5000 0.5000 0.5000  6 Te 3.20-3.24
Pr 0.1672 0.8328 0.5000  6 Te 3.20-3.24
Ca 0.6671 0.3329 0.0000  6 Te 3.15-3.16
Ca 0.3329 0.6671 0.0000  6 Te 3.15-3.16
Nd 0.0000 0.0000 0.0000  6 Te 3.18-3.19

DFT (GGA-PBE) results for crystalline CsFe2Ni at its relaxed geometry.

**Formation energy from the elements**: 1.5749 eV/atom
**Space-group type**: Fm-3m (225)

Cell: 4.5432 4.5432 4.5432 Å, 60.00 60.00 60.00°
Last column: nearest neighbours and their distance in Å.
Atoms (fractional coordinates):
Fe 0.2500 0.2500 0.2500  4 Cs 2.78, 4 Ni 2.78
Fe 0.7500 0.7500 0.7500  4 Cs 2.78, 4 Ni 2.78
Cs 0.5000 0.5000 0.5000  8 Fe 2.78
Ni 0.0000 0.0000 0.0000  8 Fe 2.78

Repeat the first record exactly.
DFT (GGA-PBE) results for crystalline Ca2Pr3NdTe6 at its relaxed geometry.

**Space-group type**: C2/m (12)
**Formation energy (no corrections)**: -1.490 eV/atom

Cell: 7.7782 7.7782 7.9010 Å, 99.47 99.47 120.06°
Last column: nearest neighbours and their distance in Å.
Atoms (fractional coordinates):
Te 0.7444 0.7444 0.2444  2 Ca 3.16, 1 Nd 3.19, 3 Pr 3.20-3.23
Te 0.9189 0.5821 0.7574  2 Ca 3.15, 1 Nd 3.18, 3 Pr 3.20-3.24
Te 0.2556 0.2556 0.7556  2 Ca 3.16, 1 Nd 3.19, 3 Pr 3.20-3.23
Te 0.4179 0.0811 0.2426  2 Ca 3.15, 1 Nd 3.18, 3 Pr 3.20-3.24
Te 0.0811 0.4179 0.2426  2 Ca 3.15, 1 Nd 3.18, 3 Pr 3.20-3.24
Te 0.5821 0.9189 0.7574  2 Ca 3.15, 1 Nd 3.18, 3 Pr 3.20-3.24
Pr 0.8328 0.1672 0.5000  6 Te 3.20-3.24
Pr 0.5000 0.5000 0.5000  6 Te 3.20-3.24
Pr 0.1672 0.8328 0.5000  6 Te 3.20-3.24
Ca 0.6671 0.3329 0.0000  6 Te 3.15-3.16
Ca 0.3329 0.6671 0.0000  6 Te 3.15-3.16
Nd 0.0000 0.0000 0.0000  6 Te 3.18-3.19